1.
## BaSnHg2Ru (PBE)

Data for BaSnHg2Ru after structural relaxation.

Summary:
**Energy of formation from the pure elements**: -0.202 eV per atom

a = 5.3634 Å, b = 5.3634 Å, c = 5.0719 Å
α = 90.00°, β = 90.00°, γ = 90.00°
Sites, in units of the cell vectors:
Hg: 0.5000 0.0000 0.0000
Sn: 0.0000 0.0000 0.5000
Ba: 0.5000 0.5000 0.5000
Ru: 0.0000 0.0000 0.0000
Hg: 0.0000 0.5000 0.0000

***

2.
## MnRe4Se (PBE)

Data for MnRe4Se after structural relaxation.

Summary:
**Formation energy without anion corrections**: 0.786 eV per atom

a = 5.2218 Å, b = 5.2218 Å, c = 5.2218 Å
α = 60.00°, β = 60.00°, γ = 60.00°
Sites, in units of the cell vectors:
Re: 0.6250 0.1249 0.6250
Re: 0.6250 0.6250 0.6250
Mn: 0.0000 0.0000 0.0000
Re: 0.6250 0.6250 0.1249
Re: 0.1249 0.6250 0.6250
Se: 0.2500 0.2500 0.2500

***

3.
## Ac5La2Nd4 (PBE)

Data for Ac5La2Nd4 after structural relaxation.

Summary:
**Energy above the lowest structure with this stoichiometry**: 29 meV per atom
**Energy of formation from the pure elements**: 0.157 eV per atom

a = 3.7788 Å, b = 9.9284 Å, c = 13.2878 Å
α = 111.94°, β = 98.17°, γ = 90.00°
Sites, in units of the cell vectors:
Nd: 0.0000 0.6908 0.0000
Nd: 0.4069 0.4069 0.8139
Ac: 0.8538 0.0568 0.7076
Ac: 0.5000 0.0000 0.0000
Nd: 0.5931 0.5931 0.1861
La: 0.7279 0.7279 0.4559
Ac: 0.8538 0.6508 0.7076
Ac: 0.1462 0.3492 0.2924
La: 0.2721 0.2721 0.5441
Nd: 0.0000 0.3092 0.0000
Ac: 0.1462 0.9432 0.2924

***

4.
## In3CSe (PBE)

Data for In3CSe after structural relaxation.

Summary:
**Energy above the lowest structure with this stoichiometry**: 996 meV per atom
**Formation energy without anion corrections**: 1.564 eV per atom

a = 5.7852 Å, b = 5.7852 Å, c = 5.7852 Å
α = 90.00°, β = 90.00°, γ = 90.00°
Sites, in units of the cell vectors:
C: 0.5000 0.5000 0.5000
Se: 0.0000 0.0000 0.0000
In: 0.5000 0.0000 0.0000
In: 0.0000 0.0000 0.5000
In: 0.0000 0.5000 0.0000

***

5.
## MgFeBr2 (PBE)

Data for MgFeBr2 after structural relaxation.

Summary:
**Energy above the lowest structure with this stoichiometry**: 369 meV per atom
**Formation energy without anion corrections**: 0.076 eV per atom

a = 9.5227 Å, b = 9.5227 Å, c = 9.5227 Å
α = 21.35°, β = 21.35°, γ = 21.35°
Sites, in units of the cell vectors:
Br: 0.4646 0.4646 0.4646
Br: 0.0354 0.0354 0.0354
Fe: 0.7500 0.7500 0.7500
Mg: 0.2500 0.2500 0.2500

***

6.
## BaTe2As (PBE)

Data for BaTe2As after structural relaxation.

Summary:
**Formation energy without anion corrections**: -0.517 eV per atom

a = 5.3304 Å, b = 5.3304 Å, c = 4.4328 Å
α = 90.00°, β = 90.00°, γ = 99.46°
Sites, in units of the cell vectors:
Ba: 0.0000 0.5000 0.5000
As: 0.5000 0.0000 0.5000
Te: 0.5000 0.5000 0.0000
Te: 0.0000 0.0000 0.0000

***

7.
## Cd2HgAsC (PBE)

Data for Cd2HgAsC after structural relaxation.

Summary:
**Energy of formation from the pure elements**: 0.832 eV per atom

a = 4.6834 Å, b = 4.5665 Å, c = 4.6834 Å
α = 90.00°, β = 90.00°, γ = 90.00°
Sites, in units of the cell vectors:
Hg: 0.5000 0.5000 0.5000
Cd: 0.0000 0.0000 0.5000
As: 0.0000 0.5000 0.0000
Cd: 0.5000 0.0000 0.0000
C: 0.0000 0.0000 0.0000

***

8.
## Cd4MoRh (PBE)

Data for Cd4MoRh after structural relaxation.

Summary:
**Energy of formation from the pure elements**: 0.532 eV per atom

a = 5.4782 Å, b = 5.4782 Å, c = 5.4782 Å
α = 60.00°, β = 60.00°, γ = 60.00°
Sites, in units of the cell vectors:
Cd: 0.3748 0.3748 0.3748
Rh: 0.0000 0.0000 0.0000
Cd: 0.8756 0.3748 0.3748
Cd: 0.3748 0.3748 0.8756
Mo: 0.7500 0.7500 0.7500
Cd: 0.3748 0.8756 0.3748

***

| no. | DFT total energy (eV per atom) |
| --- | --- |
| 1 | -3.363 |
| 2 | -9.622 |
| 3 | -4.340 |
| 4 | -2.621 |
| 5 | -3.275 |
| 6 | -3.731 |
| 7 | -2.369 |
| 8 | -3.108 |